Record 1
An optimized crystal structure of GdY, computed with PBE.

Relative energy among the computed polymorphs ... 1911 meV/atom

Cell: 6.931 6.931 6.931 Å, 90.00 90.00 90.00°
Sites, in units of the cell vectors:
Gd 0.000 0.000 0.000
Gd 0.000 0.500 0.500
Gd 0.500 0.000 0.500
Gd 0.500 0.500 0.000
Y 0.250 0.250 0.750
Y 0.250 0.750 0.250
Y 0.750 0.250 0.250
Y 0.750 0.750 0.750

***

Record 2
An optimized crystal structure of GdY, computed with PBE.

Relative energy among the computed polymorphs ... 752 meV/atom

Cell: 6.500 6.500 6.500 Å, 90.00 90.00 90.00°
Sites, in units of the cell vectors:
Gd 0.000 0.000 0.000
Gd 0.000 0.500 0.500
Gd 0.500 0.000 0.500
Gd 0.500 0.500 0.000
Y 0.000 0.000 0.500
Y 0.000 0.500 0.000
Y 0.500 0.000 0.000
Y 0.500 0.500 0.500

***

Record 3
An optimized crystal structure of GdYZn, computed with PBE.

Relative energy among the computed polymorphs ... 0 meV/atom

Cell: 7.017 7.017 7.017 Å, 90.00 90.00 90.00°
Sites, in units of the cell vectors:
Gd 0.000 0.000 0.000
Gd 0.000 0.500 0.500
Gd 0.500 0.000 0.500
Gd 0.500 0.500 0.000
Y 0.000 0.000 0.500
Y 0.000 0.500 0.000
Y 0.500 0.000 0.000
Y 0.500 0.500 0.500
Zn 0.250 0.250 0.250
Zn 0.250 0.750 0.750
Zn 0.750 0.250 0.750
Zn 0.750 0.750 0.250

***

Record 4
An optimized crystal structure of Gd3Zn11, computed with PBE.

Uncorrected energy ... -2.332 eV/atom

Cell: 8.162 8.162 8.162 Å, 148.76 114.40 74.45°
Sites, in units of the cell vectors:
Gd 0.000 0.000 0.000
Gd 0.295 0.295 0.000
Gd 0.705 0.705 0.000
Zn 0.018 0.658 0.361
Zn 0.142 0.860 0.281
Zn 0.297 0.658 0.639
Zn 0.316 0.500 0.816
Zn 0.421 0.140 0.281
Zn 0.500 0.000 0.500
Zn 0.579 0.860 0.719
Zn 0.684 0.500 0.184
Zn 0.703 0.342 0.361
Zn 0.858 0.140 0.719
Zn 0.982 0.342 0.639

***

Record 5
An optimized crystal structure of GdZn2, computed with PBE.

Uncorrected energy ... -2.630 eV/atom

Cell: 3.624 13.875 4.732 Å, 90.00 90.00 90.00°
Sites, in units of the cell vectors:
Gd 0.000 0.086 0.250
Gd 0.000 0.914 0.750
Gd 0.500 0.414 0.750
Gd 0.500 0.586 0.250
Zn 0.000 0.246 0.750
Zn 0.000 0.388 0.250
Zn 0.000 0.612 0.750
Zn 0.000 0.754 0.250
Zn 0.500 0.112 0.750
Zn 0.500 0.254 0.250
Zn 0.500 0.746 0.750
Zn 0.500 0.888 0.250

***

Record 6
An optimized crystal structure of GdZn2, computed with PBE.

Uncorrected energy ... -2.734 eV/atom

Cell: 5.465 5.465 5.465 Å, 60.00 60.00 60.00°
Sites, in units of the cell vectors:
Gd 0.125 0.125 0.125
Gd 0.875 0.875 0.875
Zn 0.000 0.500 0.500
Zn 0.500 0.000 0.500
Zn 0.500 0.500 0.000
Zn 0.500 0.500 0.500

***

Record 7
An optimized crystal structure of GdZn2, computed with PBE.

Uncorrected energy ... -2.784 eV/atom

Cell: 4.494 7.183 7.568 Å, 90.00 90.00 90.00°
Sites, in units of the cell vectors:
Gd 0.000 0.250 0.030
Gd 0.000 0.750 0.970
Gd 0.500 0.250 0.470
Gd 0.500 0.750 0.530
Zn 0.000 0.044 0.666
Zn 0.000 0.456 0.666
Zn 0.000 0.544 0.334
Zn 0.000 0.956 0.334
Zn 0.500 0.044 0.834
Zn 0.500 0.456 0.834
Zn 0.500 0.544 0.166
Zn 0.500 0.956 0.166

***

Record 8
An optimized crystal structure of GdZn2, computed with PBE.

Uncorrected energy ... -2.498 eV/atom

Cell: 4.748 10.301 5.013 Å, 90.00 90.00 90.00°
Sites, in units of the cell vectors:
Gd 0.250 0.082 0.137
Gd 0.250 0.418 0.137
Gd 0.750 0.582 0.863
Gd 0.750 0.918 0.863
Zn 0.250 0.250 0.642
Zn 0.250 0.623 0.545
Zn 0.250 0.750 0.061
Zn 0.250 0.877 0.545
Zn 0.750 0.123 0.455
Zn 0.750 0.250 0.939
Zn 0.750 0.377 0.455
Zn 0.750 0.750 0.358

***

Record 9
An optimized crystal structure of Gd2Zn17, computed with PBE.

Uncorrected energy ... -1.869 eV/atom

Cell: 8.960 8.960 8.747 Å, 90.00 90.00 120.00°
Sites, in units of the cell vectors:
Gd 0.000 0.000 0.250
Gd 0.000 0.000 0.750
Gd 0.333 0.667 0.250
Gd 0.667 0.333 0.750
Zn 0.000 0.500 0.000
Zn 0.000 0.500 0.500
Zn 0.039 0.368 0.750
Zn 0.039 0.671 0.750
Zn 0.162 0.323 0.021
Zn 0.162 0.323 0.479
Zn 0.162 0.838 0.021
Zn 0.162 0.838 0.479
Zn 0.323 0.162 0.521
Zn 0.323 0.162 0.979
Zn 0.329 0.368 0.750
Zn 0.329 0.961 0.750
Zn 0.333 0.667 0.601
Zn 0.333 0.667 0.899
Zn 0.368 0.039 0.250
Zn 0.368 0.329 0.250
Zn 0.500 0.000 0.000
Zn 0.500 0.000 0.500
Zn 0.500 0.500 0.000
Zn 0.500 0.500 0.500
Zn 0.632 0.671 0.750
Zn 0.632 0.961 0.750
Zn 0.667 0.333 0.101
Zn 0.667 0.333 0.399
Zn 0.671 0.039 0.250
Zn 0.671 0.632 0.250
Zn 0.677 0.838 0.021
Zn 0.677 0.838 0.479
Zn 0.838 0.162 0.521
Zn 0.838 0.162 0.979
Zn 0.838 0.677 0.521
Zn 0.838 0.677 0.979
Zn 0.961 0.329 0.250
Zn 0.961 0.632 0.250

***

Record 10
An optimized crystal structure of Gd6Zn23, computed with PBE.

Uncorrected energy ... -2.281 eV/atom

Cell: 8.986 8.986 8.986 Å, 60.00 60.00 60.00°
Sites, in units of the cell vectors:
Gd 0.208 0.208 0.792
Gd 0.208 0.792 0.208
Gd 0.208 0.792 0.792
Gd 0.792 0.208 0.208
Gd 0.792 0.208 0.792
Gd 0.792 0.792 0.208
Zn 0.000 0.000 0.500
Zn 0.000 0.500 0.000
Zn 0.000 0.500 0.500
Zn 0.131 0.623 0.623
Zn 0.172 0.172 0.172
Zn 0.172 0.172 0.485
Zn 0.172 0.485 0.172
Zn 0.377 0.377 0.377
Zn 0.377 0.377 0.869
Zn 0.377 0.869 0.377
Zn 0.485 0.172 0.172
Zn 0.500 0.000 0.000
Zn 0.500 0.000 0.500
Zn 0.500 0.500 0.000
Zn 0.500 0.500 0.500
Zn 0.515 0.828 0.828
Zn 0.623 0.131 0.623
Zn 0.623 0.623 0.131
Zn 0.623 0.623 0.623
Zn 0.828 0.515 0.828
Zn 0.828 0.828 0.515
Zn 0.828 0.828 0.828
Zn 0.869 0.377 0.377

***

Record 11
An optimized crystal structure of GdZn2, computed with PBE.

Uncorrected energy ... -2.633 eV/atom

Cell: 8.244 4.649 13.189 Å, 90.00 106.83 90.00°
Sites, in units of the cell vectors:
Gd 0.040 0.250 0.274
Gd 0.250 0.250 0.069
Gd 0.309 0.750 0.614
Gd 0.401 0.750 0.281
Gd 0.599 0.250 0.719
Gd 0.691 0.250 0.386
Gd 0.750 0.750 0.931
Gd 0.960 0.750 0.726
Zn 0.044 0.750 0.136
Zn 0.096 0.250 0.517
Zn 0.122 0.750 0.947
Zn 0.138 0.750 0.394
Zn 0.226 0.250 0.763
Zn 0.363 0.750 0.846
Zn 0.387 0.250 0.466
Zn 0.477 0.750 0.058
Zn 0.523 0.250 0.942
Zn 0.613 0.750 0.534
Zn 0.637 0.250 0.154
Zn 0.774 0.750 0.237
Zn 0.862 0.250 0.606
Zn 0.878 0.250 0.053
Zn 0.904 0.750 0.483
Zn 0.956 0.250 0.864

***

Record 12
An optimized crystal structure of GdZn2, computed with PBE.

Uncorrected energy ... -2.609 eV/atom

Cell: 10.600 4.953 4.507 Å, 90.00 90.00 90.00°
Sites, in units of the cell vectors:
Gd 0.000 0.233 0.250
Gd 0.000 0.767 0.750
Gd 0.500 0.267 0.750
Gd 0.500 0.733 0.250
Zn 0.195 0.335 0.750
Zn 0.195 0.665 0.250
Zn 0.305 0.165 0.250
Zn 0.305 0.835 0.750
Zn 0.695 0.165 0.250
Zn 0.695 0.835 0.750
Zn 0.805 0.335 0.750
Zn 0.805 0.665 0.250

***

Record 13
An optimized crystal structure of GdZn6, computed with PBE.

Uncorrected energy ... -1.653 eV/atom

Cell: 5.918 5.918 5.918 Å, 60.00 60.00 60.00°
Sites, in units of the cell vectors:
Gd 0.000 0.000 0.000
Zn 0.000 0.000 0.500
Zn 0.000 0.500 0.000
Zn 0.000 0.500 0.500
Zn 0.500 0.000 0.000
Zn 0.500 0.000 0.500
Zn 0.500 0.500 0.000

***

Record 14
An optimized crystal structure of GdZrZn, computed with PBE.

Relative energy among the computed polymorphs ... 0 meV/atom

Cell: 6.726 6.726 6.726 Å, 90.00 90.00 90.00°
Sites, in units of the cell vectors:
Gd 0.000 0.000 0.000
Gd 0.000 0.500 0.500
Gd 0.500 0.000 0.500
Gd 0.500 0.500 0.000
Zr 0.000 0.000 0.500
Zr 0.000 0.500 0.000
Zr 0.500 0.000 0.000
Zr 0.500 0.500 0.500
Zn 0.250 0.250 0.250
Zn 0.250 0.750 0.750
Zn 0.750 0.250 0.750
Zn 0.750 0.750 0.250

***

Record 15
An optimized crystal structure of GdZr2, computed with PBE.

Relative energy among the computed polymorphs ... 6 meV/atom

Cell: 10.233 5.745 5.297 Å, 90.00 90.00 90.00°
Sites, in units of the cell vectors:
Gd 0.000 0.183 0.250
Gd 0.000 0.817 0.750
Gd 0.500 0.317 0.750
Gd 0.500 0.683 0.250
Zr 0.180 0.345 0.750
Zr 0.180 0.655 0.250
Zr 0.320 0.155 0.250
Zr 0.320 0.845 0.750
Zr 0.680 0.155 0.250
Zr 0.680 0.845 0.750
Zr 0.820 0.345 0.750
Zr 0.820 0.655 0.250

***

Record 16
An optimized crystal structure of GdZr, computed with PBE.

Uncorrected energy ... -6.520 eV/atom

Cell: 5.395 9.122 9.122 Å, 142.33 90.00 90.00°
Sites, in units of the cell vectors:
Gd 0.000 0.000 0.000
Gd 0.000 0.231 0.840
Gd 0.000 0.840 0.231
Gd 0.500 0.486 0.865
Gd 0.500 0.865 0.486
Zr 0.000 0.416 0.597
Zr 0.000 0.597 0.416
Zr 0.500 0.115 0.298
Zr 0.500 0.298 0.115
Zr 0.500 0.674 0.674

***

Record 17
An optimized crystal structure of GdZr2, computed with PBE.

Relative energy among the computed polymorphs ... 44 meV/atom

Cell: 3.313 17.406 5.336 Å, 90.00 90.00 90.00°
Sites, in units of the cell vectors:
Gd 0.000 0.112 0.250
Gd 0.000 0.888 0.750
Gd 0.500 0.388 0.750
Gd 0.500 0.612 0.250
Zr 0.000 0.219 0.750
Zr 0.000 0.446 0.250
Zr 0.000 0.554 0.750
Zr 0.000 0.781 0.250
Zr 0.500 0.054 0.750
Zr 0.500 0.281 0.250
Zr 0.500 0.719 0.750
Zr 0.500 0.946 0.250

***

Record 18
An optimized crystal structure of GdZr, computed with PBE.

Uncorrected energy ... -6.519 eV/atom

Cell: 6.770 5.411 9.120 Å, 90.00 99.78 90.00°
Sites, in units of the cell vectors:
Gd 0.142 0.250 0.059
Gd 0.201 0.750 0.285
Gd 0.357 0.750 0.916
Gd 0.643 0.250 0.084
Gd 0.799 0.250 0.715
Gd 0.858 0.750 0.941
Zr 0.033 0.750 0.602
Zr 0.293 0.250 0.692
Zr 0.484 0.250 0.402
Zr 0.516 0.750 0.598
Zr 0.707 0.750 0.308
Zr 0.967 0.250 0.398

***

Record 19
An optimized crystal structure of GdZr2, computed with PBE.

Relative energy among the computed polymorphs ... 1033 meV/atom

Cell: 7.015 7.015 7.015 Å, 90.00 90.00 90.00°
Sites, in units of the cell vectors:
Gd 0.000 0.000 0.000
Gd 0.000 0.500 0.500
Gd 0.500 0.000 0.500
Gd 0.500 0.500 0.000
Zr 0.250 0.250 0.250
Zr 0.250 0.250 0.750
Zr 0.250 0.750 0.250
Zr 0.250 0.750 0.750
Zr 0.750 0.250 0.250
Zr 0.750 0.250 0.750
Zr 0.750 0.750 0.250
Zr 0.750 0.750 0.750

***

Record 20
An optimized crystal structure of GdZr, computed with PBE.

Uncorrected energy ... -6.506 eV/atom

Cell: 5.398 10.370 5.852 Å, 90.00 90.00 90.00°
Sites, in units of the cell vectors:
Gd 0.000 0.079 0.000
Gd 0.000 0.258 0.526
Gd 0.000 0.742 0.026
Gd 0.000 0.921 0.500
Gd 0.500 0.257 0.162
Gd 0.500 0.743 0.662
Zr 0.000 0.435 0.995
Zr 0.000 0.565 0.495
Zr 0.500 0.077 0.670
Zr 0.500 0.428 0.689
Zr 0.500 0.572 0.189
Zr 0.500 0.923 0.170